VASP calculation (GGA-PBE) on a relaxed RbTlTe crystal.

```
RbTlTe
1.0
8.640 0.000 0.000
0.000 5.302 0.000
0.000 0.000 10.944
Rb Tl Te
4 4 4
Direct
0.024 0.250 0.184 Rb
0.476 0.750 0.684 Rb
0.524 0.250 0.316 Rb
0.976 0.750 0.816 Rb
0.155 0.250 0.572 Tl
0.345 0.750 0.072 Tl
0.655 0.250 0.928 Tl
0.845 0.750 0.428 Tl
0.222 0.750 0.394 Te
0.278 0.250 0.894 Te
0.722 0.750 0.106 Te
0.778 0.250 0.606 Te
```

Results
**E above lowest polymorph**: 0 meV per atom
**SG**: Pnma (62)
**Energy relative to the elements, uncorrected**: -0.681 eV per atom


VASP calculation (GGA-PBE) on a relaxed Pm2ZnCoC crystal.

```
Pm2ZnCoC
1.0
5.188 0.000 0.000
0.000 5.188 0.000
0.000 0.000 3.636
Pm Zn Co C
2 1 1 1
Direct
0.000 0.500 0.000 Pm
0.500 0.000 0.000 Pm
0.000 0.000 0.500 Zn
0.500 0.500 0.500 Co
0.500 0.500 0.000 C
```

Results
**ΔE_f**: -26.6 kJ per mole of atoms
**SG**: P4/mmm (123)


VASP calculation (GGA-PBE) on a relaxed TiTeS crystal.

```
TiTeS
1.0
7.535 0.000 0.000
0.000 5.613 0.000
-3.689 0.000 6.485
Ti Te S
4 4 4
Direct
0.194 0.014 0.219 Ti
0.194 0.486 0.719 Ti
0.806 0.514 0.281 Ti
0.806 0.986 0.781 Ti
0.438 0.717 0.576 Te
0.438 0.783 0.076 Te
0.562 0.217 0.924 Te
0.562 0.283 0.424 Te
0.086 0.248 0.424 S
0.086 0.252 0.924 S
0.914 0.748 0.076 S
0.914 0.752 0.576 S
```

Results
**E above lowest polymorph**: 120 meV per atom
**SG**: P2_1/c (14)
**Energy relative to the elements, uncorrected**: -0.897 eV per atom


VASP calculation (GGA-PBE) on a relaxed ZnCo2Cl crystal.

```
ZnCo2Cl
1.0
0.000 3.038 3.038
3.038 0.000 3.038
3.038 3.038 0.000
Zn Co Cl
1 2 1
Direct
0.000 0.000 0.000 Zn
0.500 0.500 0.500 Co
0.750 0.750 0.750 Co
0.250 0.250 0.250 Cl
```

Results
**E above lowest polymorph**: 618 meV per atom
**SG**: F-43m (216)
**Energy relative to the elements, uncorrected**: 0.696 eV per atom